# 1
DFT (GGA-PBE) results for a relaxed CeHF crystal.

Values from the calculation:
- Size of the total moment: 1.6 μB/cell
- Density of states at the Fermi level: 2.1404 states/eV/atom
- V: 17.03 A^3/atom
- Polymorph energy (0 for the lowest one): 0.274 eV per atom
- E: -16.2 eV/cell

```
CeHF
1.0
-0.167 3.457 1.039
-3.455 -0.754 1.955
3.535 -0.405 1.915
H Ce F
1 1 1
direct
0.535 0.333 0.667
0.298 0.667 0.333
0.166 0.000 0.000
```



# 2
DFT (GGA-PBE) results for a relaxed LiGaSi crystal.

Values from the calculation:
- Size of the total moment: 0.0 μB/cell
- ΔE_f (raw): 21 meV per atom
- Density of states at the Fermi level: 0.4350 states/eV/atom
- V: 17.62 A^3/atom
- E: -20.6 eV/cell

```
LiGaSi
1.0
-4.658 1.955 0.126
2.655 -2.872 -3.200
-1.984 -4.904 2.754
Ga Si Li
2 2 2
direct
0.500 0.500 0.000
0.500 0.500 0.500
0.900 0.100 0.250
0.100 0.900 0.750
0.197 0.803 0.250
0.803 0.197 0.750
```